Crystalline SrAc5Sn4 at its relaxed geometry, computed with PBE-GGA.

Unit cell a=5.766 b=7.890 c=12.284 alpha=131.51 beta=103.57 gamma=90.00
Fractional positions:
Sn: 0.991 0.729 0.981
Sn: 0.009 0.271 0.019
Sn: 0.678 0.107 0.355
Sn: 0.322 0.893 0.645
Ac: 0.167 0.844 0.333
Sr: 0.500 0.000 0.000
Ac: 0.160 0.313 0.321
Ac: 0.840 0.687 0.679
Ac: 0.500 0.500 0.000
Ac: 0.833 0.156 0.667

Output
space group	C2/m (12)
calculated volume	397.4	Å³/cell
E	-4.357	eV/atom